[1]
# K2MgAsO4

A geometry-optimized K2MgAsO4 structure (PBE, the Alexandria database).

Values from the calculation:
Formation energy (no corrections) in eV per atom: -1.531
Magnetization in μB/cell: 0.00

Lattice parameters (Å, degrees): 5.313 12.355 20.645 90.00 90.00 90.00
Space group Fddd (No. 70, origin choice 2)
Symmetry-distinct sites (fractional):
K 0.125 0.125 0.306 x16
Mg 0.125 0.125 0.125 x8
As 0.125 0.125 0.625 x8
O 0.104 0.289 0.834 x32


[2]
# CaTaZn2O6

A geometry-optimized CaTaZn2O6 structure (PBE, the Alexandria database).

Values from the calculation:
Formation energy (no corrections) in eV per atom: -2.016
Magnetization in μB/cell: 4.08

Lattice parameters (Å, degrees): 10.972 9.398 6.780 90.00 118.41 90.00
Space group C2/c (No. 15)
Symmetry-distinct sites (fractional):
Ca 0.000 0.209 0.250 x4
Ta 0.000 0.152 0.750 x4
Zn 0.168 0.458 0.138 x8
O 0.088 0.265 0.004 x8
O 0.123 0.420 0.382 x8
O 0.124 0.033 0.712 x8


[3]
# Tm2HgPd

A geometry-optimized Tm2HgPd structure (PBE, the Alexandria database).

Values from the calculation:
Offset from the most stable computed form in meV/atom: 139.0
DFT formation energy in kJ/mol of atoms: -55.3
Magnetization in μB/cell: 0.00

Lattice parameters (Å, degrees): 3.9401 3.9401 22.8126 90.00 90.00 120.00
Space group R-3m (No. 166, hexagonal axes)
Symmetry-distinct sites (fractional):
Tm 0.0000 0.0000 0.2385 x6
Hg 0.0000 0.0000 0.0000 x3
Pd 0.0000 0.0000 0.5000 x3


[4]
# NbP2PdCl

A geometry-optimized NbP2PdCl structure (PBE, the Alexandria database).

Values from the calculation:
Offset from the most stable computed form in meV/atom: 0.0
Formation energy (no corrections) in eV per atom: 0.352
Magnetization in μB/cell: 0.00

Lattice parameters (Å, degrees): 4.838 4.838 4.794 90.00 90.00 90.00
Space group P4/mmm (No. 123)
Symmetry-distinct sites (fractional):
Nb 0.000 0.000 0.000 x1
P 0.000 0.500 0.000 x2
Pd 0.500 0.500 0.500 x1
Cl 0.000 0.000 0.500 x1